Here is crystalline K3Dy3InSe8 at its relaxed geometry from Alexandria. Energies are from GGA-PBE.

The structure in CIF format:
```
data_K3Dy3InSe8
_space_group_name_H-M_alt 'P 1'
_space_group_IT_number 1
_space_group_name_Hall 'P 1'
_cell_length_a 8.244
_cell_length_b 8.244
_cell_length_c 9.231
_cell_angle_alpha 116.58
_cell_angle_beta 116.58
_cell_angle_gamma 59.92
loop_
_atom_site_label
_atom_site_type_symbol
_atom_site_fract_x
_atom_site_fract_y
_atom_site_fract_z
K1 K 0.000 0.000 0.000
K2 K 0.000 0.500 0.000
K3 K 0.500 0.000 0.000
Dy1 Dy 0.000 0.500 0.500
Dy2 Dy 0.500 0.000 0.500
Dy3 Dy 0.500 0.500 0.500
In1 In 0.000 0.000 0.500
Se1 Se 0.232 0.232 0.702
Se2 Se 0.232 0.738 0.702
Se3 Se 0.262 0.768 0.298
Se4 Se 0.265 0.265 0.295
Se5 Se 0.735 0.735 0.705
Se6 Se 0.738 0.232 0.702
Se7 Se 0.768 0.262 0.298
Se8 Se 0.768 0.768 0.298
```

Calculated values
The value obtained for the formation energy from raw total energies is -1429 meV per atom.